The following is a PBE+U calculation of KAg2MoO4 after structural relaxation, from Alexandria via LeMat-Bulk.

a b c (Å): 6.095 6.095 7.418
angles (deg): 90.00 90.00 90.00
Space group I-42m (No. 121)
Symmetry-distinct sites (fractional):
K 0.000 0.000 0.000 (multiplicity 2)
Ag 0.000 0.500 0.250 (multiplicity 4)
Mo 0.000 0.000 0.500 (multiplicity 2)
O 0.172 0.172 0.346 (multiplicity 8)

Properties
Its crystal system is tetragonal. For the volume, the calculation gives 17.2 A^3/atom. For the density of states at the Fermi level, the calculation gives 0.092 states/eV/atom. The total DFT energy (no corrections) comes out at -5.245 eV per atom.